# PBE with a Hubbard U BeVO2, relaxed
# Final energy ... -7.174 eV per atom
# Total magnetic moment ... 12.0 μB/cell
data_BeVO2
_cell_length_a 4.463
_cell_length_b 4.463
_cell_length_c 7.796
_cell_angle_alpha 90.00
_cell_angle_beta 90.00
_cell_angle_gamma 90.00
_space_group_name_H-M_alt 'I -4 2 d'
_space_group_IT_number 122
_space_group_name_Hall 'I -4 2bw'
loop_
_atom_site_label
_atom_site_type_symbol
_atom_site_fract_x
_atom_site_fract_y
_atom_site_fract_z
Be1 Be 0.000 0.000 0.000
V1 V 0.000 0.000 0.500
O1 O 0.173 0.250 0.125